First-principles (GGA-PBE) data for a geometry-optimized PaTlSb2 structure, as listed in Alexandria via LeMat-Bulk.

Computed properties:
E_tot	-5.23	eV per atom
energy above the lowest structure with this stoichiometry	99	meV per atom
symmetry	R-3m (166)

Cell lengths 4.426, 4.426, 8.464 Å; angles 74.84, 74.84, 60.00 degrees
Sites, in units of the cell vectors:
1 Sb 0.737 0.737 0.790
2 Sb 0.263 0.263 0.210
3 Tl 0.500 0.500 0.500
4 Pa 0.000 0.000 0.000